Entry 1:
The following is a GGA-PBE calculation of crystalline CeMgPtRh at its relaxed geometry, from Alexandria.

Unit cell a=4.7708 b=4.7708 c=4.7708 alpha=60.00 beta=60.00 gamma=60.00
With the nearest neighbours (Å) after each atom.
Positions (direct):
Pt (0.2500, 0.2500, 0.2500)  4 Ce 2.92, 4 Mg 2.92
Ce (0.0000, 0.0000, 0.0000)  4 Rh 2.92, 4 Pt 2.92
Rh (0.7500, 0.7500, 0.7500)  4 Mg 2.92, 4 Ce 2.92
Mg (0.5000, 0.5000, 0.5000)  4 Rh 2.92, 4 Pt 2.92

Calculated values
Space-group type: F-43m
Calculated total energy (eV/cell): -24.0
Calculated density (Mg/m³): 10.0

Entry 2:
The following is a GGA-PBE calculation of crystalline Y3TmCo8 at its relaxed geometry, from Alexandria.

Unit cell a=5.0676 b=5.0676 c=8.7829 alpha=73.23 beta=73.23 gamma=60.00
With the nearest neighbours (Å) after each atom.
Positions (direct):
Co (0.4398, 0.9372, 0.6858)  6 Co 2.52-2.55
Co (0.6875, 0.6875, 0.9375)  6 Co 2.54-2.55
Co (0.4372, 0.9363, 0.1893)  6 Co 2.52-2.55
Co (0.1877, 0.1877, 0.4368)  6 Co 2.52-2.53
Co (0.9372, 0.4398, 0.6858)  6 Co 2.52-2.55
Co (0.9363, 0.4372, 0.1893)  6 Co 2.52-2.55
Co (0.9372, 0.9372, 0.6858)  6 Co 2.52-2.55
Co (0.4372, 0.4372, 0.1893)  6 Co 2.52-2.55
Tm (0.8750, 0.8750, 0.3751)  12 Co 2.96-2.97, 4 Y 3.10
Y (0.9997, 0.9997, 0.0009)  12 Co 2.97-2.99, 1 Tm 3.10, 3 Y 3.11
Y (0.5002, 0.5002, 0.4993)  12 Co 2.95-2.97, 3 Tm 3.10, 1 Y 3.11
Y (0.3750, 0.3750, 0.8750)  12 Co 2.97-2.99, 4 Y 3.11

Calculated values
Space-group type: R3m
Calculated total energy (eV/cell): -83.1
Calculated density (Mg/m³): 8.2

Entry 3:
The following is a GGA-PBE calculation of crystalline Tc2MoAs at its relaxed geometry, from Alexandria.

Unit cell a=4.1502 b=4.1502 c=5.0331 alpha=65.65 beta=65.65 gamma=60.00
With the nearest neighbours (Å) after each atom.
Positions (direct):
Mo (0.4824, 0.4824, 0.5529)  1 As 2.57, 6 Tc 2.58-2.84
Tc (0.0778, 0.0778, 0.7666)  1 Tc 2.47, 3 As 2.56, 3 Mo 2.58
Tc (0.2637, 0.2637, 0.2088)  1 Tc 2.47, 3 As 2.62
As (0.6761, 0.6761, 0.9717)  6 Tc 2.56-2.62, 1 Mo 2.57

Calculated values
Space-group type: R3m
Calculated total energy (eV/cell): -35.6
Calculated density (Mg/m³): 9.2